Entry A
Compound: Cd2InAs
Source: Alexandria
Functional: GGA-PBE
Structure: relaxed

abc: 4.138 5.291 8.659
angles: 90.00 90.00 90.00
Fractional coordinates of all 8 atoms:
Cd  0.000  0.000  0.000
Cd  0.000  0.500  0.244
Cd  0.500  0.000  0.744
Cd  0.500  0.500  0.500
In  0.000  0.500  0.765
In  0.500  0.000  0.265
As  0.000  0.000  0.509
As  0.500  0.500  0.009

Properties
For the density of states at the Fermi level, the calculation gives 0.477 states/eV/atom.

=====

Entry B
Compound: Cd2InAs
Source: Alexandria
Functional: GGA-PBE
Structure: relaxed

abc: 7.255 7.255 7.255
angles: 90.00 90.00 90.00
Fractional coordinates of all 16 atoms:
Cd  0.250  0.250  0.250
Cd  0.250  0.250  0.750
Cd  0.250  0.750  0.250
Cd  0.250  0.750  0.750
Cd  0.750  0.250  0.250
Cd  0.750  0.250  0.750
Cd  0.750  0.750  0.250
Cd  0.750  0.750  0.750
In  0.000  0.000  0.000
In  0.000  0.500  0.500
In  0.500  0.000  0.500
In  0.500  0.500  0.000
As  0.000  0.000  0.500
As  0.000  0.500  0.000
As  0.500  0.000  0.000
As  0.500  0.500  0.500

Properties
For the density of states at the Fermi level, the calculation gives 0.289 states/eV/atom.

=====

Most stable structure, least stable structure: entry A, entry B.

=====

Entry A
Compound: Cd2InAs
Source: Alexandria
Functional: GGA-PBE
Structure: relaxed

abc: 10.420 3.176 5.746
angles: 90.00 103.04 90.00
Fractional coordinates of all 8 atoms:
Cd  0.000  0.000  0.000
Cd  0.248  0.500  0.211
Cd  0.500  0.500  0.000
Cd  0.748  0.000  0.211
In  0.241  0.000  0.713
In  0.741  0.500  0.713
As  0.481  0.000  0.485
As  0.981  0.500  0.485

Properties
For the density of states at the Fermi level, the calculation gives 0.403 states/eV/atom.

=====

Entry B
Compound: Cd2InAs
Source: Alexandria
Functional: GGA-PBE
Structure: relaxed

abc: 3.032 3.780 8.216
angles: 90.00 90.00 90.00
Fractional coordinates of all 4 atoms:
Cd  0.000  0.000  0.000
Cd  0.500  0.500  0.254
In  0.000  0.000  0.541
As  0.500  0.500  0.777

Properties
For the density of states at the Fermi level, the calculation gives 0.388 states/eV/atom.

=====

Most stable structure, least stable structure: entry B, entry A.

=====

Entry A
Compound: Cd2InAs
Source: Alexandria
Functional: GGA-PBE
Structure: relaxed

abc: 4.651 4.651 8.574
angles: 90.00 90.00 90.00
Fractional coordinates of all 8 atoms:
Cd  0.000  0.500  0.250
Cd  0.000  0.500  0.750
Cd  0.500  0.000  0.250
Cd  0.500  0.000  0.750
In  0.000  0.000  0.000
In  0.500  0.500  0.500
As  0.000  0.000  0.500
As  0.500  0.500  0.000

Properties
For the density of states at the Fermi level, the calculation gives 0.398 states/eV/atom.

=====

Entry B
Compound: Cd2InAs
Source: Alexandria
Functional: GGA-PBE
Structure: relaxed

abc: 2.967 4.070 8.067
angles: 90.00 90.11 90.00
Fractional coordinates of all 4 atoms:
Cd  0.005  0.000  0.259
Cd  0.995  0.000  0.741
In  0.500  0.500  0.000
As  0.000  0.500  0.500

Properties
For the density of states at the Fermi level, the calculation gives 0.346 states/eV/atom.

=====

Entry C
Compound: Cd2InAs
Source: Alexandria
Functional: GGA-PBE
Structure: relaxed

abc: 4.058 4.058 5.956
angles: 90.00 90.00 90.00
Fractional coordinates of all 4 atoms:
Cd  0.000  0.000  0.000
Cd  0.500  0.500  0.134
In  0.000  0.000  0.505
As  0.500  0.500  0.612

Properties
For the density of states at the Fermi level, the calculation gives 0.574 states/eV/atom.

=====

Entry D
Compound: Cd2InAs
Source: Alexandria
Functional: GGA-PBE
Structure: relaxed

abc: 3.221 3.221 30.641
angles: 90.00 90.00 120.00
Fractional coordinates of all 12 atoms:
Cd  0.000  0.000  0.000
Cd  0.000  0.000  0.250
Cd  0.333  0.667  0.667
Cd  0.333  0.667  0.917
Cd  0.667  0.333  0.333
Cd  0.667  0.333  0.583
In  0.000  0.000  0.497
In  0.333  0.667  0.164
In  0.667  0.333  0.830
As  0.000  0.000  0.744
As  0.333  0.667  0.411
As  0.667  0.333  0.078

Properties
For the density of states at the Fermi level, the calculation gives 0.307 states/eV/atom.

=====

Most stable structure, least stable structure: entry B, entry D.

=====

Entry A
Compound: Cd2InAs
Source: Alexandria
Functional: GGA-PBE
Structure: relaxed

abc: 4.370 4.849 8.807
angles: 90.00 90.00 90.00
Fractional coordinates of all 8 atoms:
Cd  0.000  0.000  0.000
Cd  0.000  0.500  0.247
Cd  0.500  0.000  0.247
Cd  0.500  0.500  0.000
In  0.000  0.000  0.521
In  0.500  0.500  0.521
As  0.000  0.500  0.770
As  0.500  0.000  0.770

Properties
For the density of states at the Fermi level, the calculation gives 0.325 states/eV/atom.

=====

Entry B
Compound: Cd2InAs
Source: Alexandria
Functional: GGA-PBE
Structure: relaxed

abc: 3.259 3.259 8.726
angles: 90.00 90.00 90.00
Fractional coordinates of all 4 atoms:
Cd  0.000  0.000  0.234
Cd  0.000  0.000  0.766
In  0.500  0.500  0.500
As  0.500  0.500  0.000

Properties
For the density of states at the Fermi level, the calculation gives 0.640 states/eV/atom.

=====

Entry C
Compound: Cd2InAs
Source: Alexandria
Functional: GGA-PBE
Structure: relaxed

abc: 8.240 8.240 5.826
angles: 90.00 90.00 90.00
Fractional coordinates of all 16 atoms:
Cd  0.212  0.250  0.125
Cd  0.250  0.712  0.375
Cd  0.250  0.788  0.875
Cd  0.288  0.250  0.625
Cd  0.712  0.750  0.625
Cd  0.750  0.212  0.875
Cd  0.750  0.288  0.375
Cd  0.788  0.750  0.125
In  0.000  0.000  0.500
In  0.000  0.500  0.750
In  0.500  0.000  0.250
In  0.500  0.500  0.000
As  0.000  0.000  0.000
As  0.000  0.500  0.250
As  0.500  0.000  0.750
As  0.500  0.500  0.500

Properties
For the density of states at the Fermi level, the calculation gives 0.558 states/eV/atom.

=====

Most stable structure, least stable structure: entry C, entry B.

=====

Entry A
Compound: Cd2InAs
Source: Alexandria
Functional: GGA-PBE
Structure: relaxed

abc: 4.301 4.450 4.854
angles: 90.00 90.00 90.00
Fractional coordinates of all 4 atoms:
Cd  0.000  0.000  0.000
Cd  0.500  0.000  0.500
In  0.000  0.500  0.500
As  0.500  0.500  0.000

Properties
For the density of states at the Fermi level, the calculation gives 0.315 states/eV/atom.

=====

Entry B
Compound: Cd2InAs
Source: Alexandria
Functional: GGA-PBE
Structure: relaxed

abc: 2.978 5.580 11.393
angles: 90.00 90.00 90.00
Fractional coordinates of all 8 atoms:
Cd  0.000  0.000  0.232
Cd  0.000  0.000  0.768
Cd  0.500  0.500  0.268
Cd  0.500  0.500  0.732
In  0.000  0.500  0.000
In  0.500  0.000  0.500
As  0.000  0.500  0.500
As  0.500  0.000  0.000

Properties
For the density of states at the Fermi level, the calculation gives 0.276 states/eV/atom.

=====

Entry C
Compound: Cd2InAs
Source: Alexandria
Functional: GGA-PBE
Structure: relaxed

abc: 7.259 7.259 7.259
angles: 90.00 90.00 90.00
Fractional coordinates of all 16 atoms:
Cd  0.000  0.000  0.000
Cd  0.000  0.500  0.500
Cd  0.250  0.250  0.250
Cd  0.250  0.750  0.750
Cd  0.500  0.000  0.500
Cd  0.500  0.500  0.000
Cd  0.750  0.250  0.750
Cd  0.750  0.750  0.250
In  0.000  0.000  0.500
In  0.000  0.500  0.000
In  0.500  0.000  0.000
In  0.500  0.500  0.500
As  0.250  0.250  0.750
As  0.250  0.750  0.250
As  0.750  0.250  0.250
As  0.750  0.750  0.750

Properties
For the density of states at the Fermi level, the calculation gives 0.381 states/eV/atom.

=====

Entry D
Compound: Cd2InAs
Source: Alexandria
Functional: GGA-PBE
Structure: relaxed

abc: 3.229 3.229 30.435
angles: 90.00 90.00 120.00
Fractional coordinates of all 12 atoms:
Cd  0.000  0.000  0.247
Cd  0.000  0.000  0.753
Cd  0.333  0.667  0.420
Cd  0.333  0.667  0.914
Cd  0.667  0.333  0.086
Cd  0.667  0.333  0.580
In  0.000  0.000  0.000
In  0.333  0.667  0.667
In  0.667  0.333  0.333
As  0.000  0.000  0.500
As  0.333  0.667  0.167
As  0.667  0.333  0.833

Properties
For the density of states at the Fermi level, the calculation gives 0.315 states/eV/atom.

=====

Most stable structure, least stable structure: entry B, entry D.

=====

Entry A
Compound: Cd2InAs
Source: Alexandria
Functional: GGA-PBE
Structure: relaxed

abc: 4.290 4.961 8.764
angles: 90.00 90.00 90.00
Fractional coordinates of all 8 atoms:
Cd  0.000  0.000  0.234
Cd  0.000  0.000  0.766
Cd  0.500  0.500  0.234
Cd  0.500  0.500  0.766
In  0.000  0.500  0.500
In  0.500  0.000  0.500
As  0.000  0.500  0.000
As  0.500  0.000  0.000

Properties
For the density of states at the Fermi level, the calculation gives 0.353 states/eV/atom.

=====

Entry B
Compound: Cd2InAs
Source: Alexandria
Functional: GGA-PBE
Structure: relaxed

abc: 2.960 5.775 5.612
angles: 90.00 91.37 90.00
Fractional coordinates of all 4 atoms:
Cd  0.000  0.000  0.000
Cd  0.500  0.500  0.002
In  0.499  0.000  0.500
As  0.500  0.500  0.502

Properties
For the density of states at the Fermi level, the calculation gives 0.641 states/eV/atom.

=====

Most stable structure, least stable structure: entry B, entry A.

=====

Entry A
Compound: Cd2In2As
Source: Alexandria
Functional: GGA-PBE
Structure: relaxed

abc: 3.987 3.987 16.527
angles: 90.00 90.00 90.00
Fractional coordinates of all 10 atoms:
Cd  0.000  0.500  0.250
Cd  0.000  0.500  0.750
Cd  0.500  0.000  0.250
Cd  0.500  0.000  0.750
In  0.000  0.000  0.090
In  0.000  0.000  0.910
In  0.500  0.500  0.410
In  0.500  0.500  0.590
As  0.000  0.000  0.500
As  0.500  0.500  0.000

Properties
For the density of states at the Fermi level, the calculation gives 0.613 states/eV/atom.

=====

Entry B
Compound: Cd2In2As
Source: Alexandria
Functional: GGA-PBE
Structure: relaxed

abc: 7.551 7.551 4.539
angles: 90.00 90.00 90.00
Fractional coordinates of all 10 atoms:
Cd  0.155  0.345  0.000
Cd  0.345  0.845  0.000
Cd  0.655  0.155  0.000
Cd  0.845  0.655  0.000
In  0.154  0.654  0.500
In  0.346  0.154  0.500
In  0.654  0.846  0.500
In  0.846  0.346  0.500
As  0.000  0.000  0.500
As  0.500  0.500  0.500

Properties
For the density of states at the Fermi level, the calculation gives 0.373 states/eV/atom.

=====

Entry C
Compound: Cd2In2As
Source: Alexandria
Functional: GGA-PBE
Structure: relaxed

abc: 7.282 7.282 4.909
angles: 90.00 90.00 90.00
Fractional coordinates of all 10 atoms:
Cd  0.139  0.361  0.000
Cd  0.361  0.861  0.000
Cd  0.639  0.139  0.000
Cd  0.861  0.639  0.000
In  0.170  0.670  0.500
In  0.330  0.170  0.500
In  0.670  0.830  0.500
In  0.830  0.330  0.500
As  0.000  0.000  0.000
As  0.500  0.500  0.000

Properties
For the density of states at the Fermi level, the calculation gives 0.392 states/eV/atom.

=====

Most stable structure, least stable structure: entry C, entry A.

=====

Entry A
Compound: Cd3InAs
Source: Alexandria
Functional: GGA-PBE
Structure: relaxed

abc: 5.459 5.459 5.459
angles: 90.00 90.00 90.00
Fractional coordinates of all 5 atoms:
Cd  0.000  0.000  0.500
Cd  0.000  0.500  0.000
Cd  0.500  0.000  0.000
In  0.000  0.000  0.000
As  0.500  0.500  0.500

Properties
For the density of states at the Fermi level, the calculation gives 0.553 states/eV/atom.

=====

Entry B
Compound: Cd3InAs
Source: Alexandria
Functional: GGA-PBE
Structure: relaxed

abc: 5.333 5.333 5.333
angles: 90.00 90.00 90.00
Fractional coordinates of all 5 atoms:
Cd  0.000  0.000  0.500
Cd  0.000  0.500  0.000
Cd  0.500  0.000  0.000
In  0.500  0.500  0.500
As  0.000  0.000  0.000

Properties
For the density of states at the Fermi level, the calculation gives 0.424 states/eV/atom.

=====

Most stable structure, least stable structure: entry B, entry A.

=====

Entry A
Compound: CdAsIr
Source: Alexandria
Functional: GGA-PBE
Structure: relaxed

abc: 3.302 3.302 6.275
angles: 90.00 90.00 120.00
Fractional coordinates of all 3 atoms:
Cd  0.000  0.000  0.000
As  0.667  0.333  0.580
Ir  0.333  0.667  0.342

Properties
For the density of states at the Fermi level, the calculation gives 0.070 states/eV/atom.

=====

Entry B
Compound: CdAsIr
Source: Alexandria
Functional: GGA-PBE
Structure: relaxed

abc: 6.212 6.212 6.212
angles: 90.00 90.00 90.00
Fractional coordinates of all 12 atoms:
Cd  0.000  0.000  0.000
Cd  0.000  0.500  0.500
Cd  0.500  0.000  0.500
Cd  0.500  0.500  0.000
As  0.000  0.000  0.500
As  0.000  0.500  0.000
As  0.500  0.000  0.000
As  0.500  0.500  0.500
Ir  0.250  0.250  0.750
Ir  0.250  0.750  0.250
Ir  0.750  0.250  0.250
Ir  0.750  0.750  0.750

Properties
For the density of states at the Fermi level, the calculation gives 0.790 states/eV/atom.

=====

Most stable structure, least stable structure: entry A, entry B.

=====

Entry A
Compound: CdAsIr3
Source: Alexandria
Functional: GGA-PBE
Structure: relaxed

abc: 4.584 4.584 4.584
angles: 90.00 90.00 90.00
Fractional coordinates of all 5 atoms:
Cd  0.000  0.000  0.000
As  0.500  0.500  0.500
Ir  0.000  0.500  0.500
Ir  0.500  0.000  0.500
Ir  0.500  0.500  0.000

Properties
For the density of states at the Fermi level, the calculation gives 0.171 states/eV/atom.

=====

Entry B
Compound: CdAsIr3
Source: Alexandria
Functional: GGA-PBE
Structure: relaxed

abc: 4.853 4.853 4.853
angles: 90.00 90.00 90.00
Fractional coordinates of all 5 atoms:
Cd  0.000  0.000  0.000
As  0.500  0.500  0.500
Ir  0.000  0.000  0.500
Ir  0.000  0.500  0.000
Ir  0.500  0.000  0.000

Properties
For the density of states at the Fermi level, the calculation gives 1.470 states/eV/atom.

=====

Most stable structure, least stable structure: entry A, entry B.

=====

Entry A
Compound: K2Cd2As
Source: Alexandria
Functional: GGA-PBE
Structure: relaxed

abc: 6.837 6.837 8.182
angles: 90.00 90.00 90.00
Fractional coordinates of all 10 atoms:
K  0.000  0.500  0.250
K  0.000  0.500  0.750
K  0.500  0.000  0.250
K  0.500  0.000  0.750
Cd  0.000  0.000  0.174
Cd  0.000  0.000  0.826
Cd  0.500  0.500  0.326
Cd  0.500  0.500  0.674
As  0.000  0.000  0.500
As  0.500  0.500  0.000

Properties
For the density of states at the Fermi level, the calculation gives 0.193 states/eV/atom.

=====

Entry B
Compound: K2Cd2As
Source: Alexandria
Functional: GGA-PBE
Structure: relaxed

abc: 4.020 4.020 21.794
angles: 90.00 90.00 90.00
Fractional coordinates of all 10 atoms:
K  0.000  0.000  0.090
K  0.000  0.000  0.910
K  0.500  0.500  0.410
K  0.500  0.500  0.590
Cd  0.000  0.500  0.250
Cd  0.000  0.500  0.750
Cd  0.500  0.000  0.250
Cd  0.500  0.000  0.750
As  0.000  0.000  0.500
As  0.500  0.500  0.000

Properties
For the density of states at the Fermi level, the calculation gives 0.612 states/eV/atom.

=====

Most stable structure, least stable structure: entry A, entry B.